[1]
An optimized crystal structure of Sr2GaCu2Pt5. Source: the Alexandria database, functional PBE.

Values from the calculation:
Energy of formation from the pure elements (eV/atom): -0.537
Mass density (Mg/m³): 12.4
Final energy (eV for the cell shown): -100.3

Structure (CIF):
```
data_Sr2GaCu2Pt5
_chemical_formula_sum 'Sr4 Ga2 Cu4 Pt10'
_space_group_name_H-M_alt 'P 4/m b m'
_space_group_IT_number 127
_space_group_name_Hall '-P 4 2ab'
_cell_length_a 9.6258
_cell_length_b 9.6258
_cell_length_c 3.8875
_cell_angle_alpha 90.00
_cell_angle_beta 90.00
_cell_angle_gamma 90.00
loop_
_atom_site_label
_atom_site_type_symbol
_atom_site_fract_x
_atom_site_fract_y
_atom_site_fract_z
_atom_site_occupancy
Sr1 Sr 0.1780 0.3220 0.0000 1
Ga1 Ga 0.0000 0.0000 0.0000 1
Cu1 Cu 0.1214 0.6214 0.0000 1
Pt1 Pt 0.0000 0.5000 0.5000 1
Pt2 Pt 0.0599 0.7957 0.5000 1
```

[2]
An optimized crystal structure of SrGa4Cu2Pt. Source: the Alexandria database, functional PBE.

Values from the calculation:
Energy of formation from the pure elements (eV/atom): -0.355
Mass density (Mg/m³): 7.7
Final energy (eV for the cell shown): -92.6

Structure (CIF):
```
data_SrGa4Cu2Pt
_chemical_formula_sum 'Sr3 Ga12 Cu6 Pt3'
_space_group_name_H-M_alt 'R -3 m'
_space_group_IT_number 166
_space_group_name_Hall '-R 3 2"'
_cell_length_a 4.2342
_cell_length_b 4.2342
_cell_length_c 28.6545
_cell_angle_alpha 90.00
_cell_angle_beta 90.00
_cell_angle_gamma 120.00
loop_
_atom_site_label
_atom_site_type_symbol
_atom_site_fract_x
_atom_site_fract_y
_atom_site_fract_z
_atom_site_occupancy
Sr1 Sr 0.0000 0.0000 0.0000 1
Ga1 Ga 0.0000 0.0000 0.1286 1
Ga2 Ga 0.0000 0.0000 0.4064 1
Cu1 Cu 0.0000 0.0000 0.2342 1
Pt1 Pt 0.0000 0.0000 0.5000 1
```

[3]
An optimized crystal structure of SrGaCuPt2. Source: the Alexandria database, functional PBE.

Values from the calculation:
Energy of formation from the pure elements (eV/atom): -0.631
Mass density (Mg/m³): 10.2
Final energy (eV for the cell shown): -48.1

Structure (CIF):
```
data_SrGaCuPt2
_chemical_formula_sum 'Sr2 Ga2 Cu2 Pt4'
_space_group_name_H-M_alt 'I -4 m 2'
_space_group_IT_number 119
_space_group_name_Hall 'I -4 -2'
_cell_length_a 4.2260
_cell_length_b 4.2260
_cell_length_c 11.1707
_cell_angle_alpha 90.00
_cell_angle_beta 90.00
_cell_angle_gamma 90.00
loop_
_atom_site_label
_atom_site_type_symbol
_atom_site_fract_x
_atom_site_fract_y
_atom_site_fract_z
_atom_site_occupancy
Sr1 Sr 0.0000 0.0000 0.0000 1
Ga1 Ga 0.0000 0.5000 0.2500 1
Cu1 Cu 0.0000 0.5000 0.7500 1
Pt1 Pt 0.0000 0.0000 0.3809 1
```

[4]
An optimized crystal structure of SrGa3CuPt. Source: the Alexandria database, functional PBE.

Values from the calculation:
Energy of formation from the pure elements (eV/atom): -0.348
Mass density (Mg/m³): 6.9
Final energy (eV for the cell shown): -91.9

Structure (CIF):
```
data_SrGa3CuPt
_chemical_formula_sum 'Sr4 Ga12 Cu4 Pt4'
_space_group_name_H-M_alt 'C m c m'
_space_group_IT_number 63
_space_group_name_Hall '-C 2c 2'
_cell_length_a 6.3869
_cell_length_b 12.3528
_cell_length_c 6.8016
_cell_angle_alpha 90.00
_cell_angle_beta 90.00
_cell_angle_gamma 90.00
loop_
_atom_site_label
_atom_site_type_symbol
_atom_site_fract_x
_atom_site_fract_y
_atom_site_fract_z
_atom_site_occupancy
Sr1 Sr 0.0000 0.2377 0.2500 1
Ga1 Ga 0.0000 0.2199 0.7500 1
Ga2 Ga 0.2134 0.5000 0.0000 1
Cu1 Cu 0.0000 0.4050 0.7500 1
Pt1 Pt 0.0000 0.0285 0.7500 1
```